Below is crystalline Tc2PbW at its relaxed geometry, with properties calculated at the PBE level.

Calculated values
DOS at the Fermi energy = 0.97 states/eV/atom
total DFT energy (no corrections) = -8.77 eV per atom
V = 69.3 Å³/f.u.
M_tot = 0.0001 μB/atom
energy relative to the elements = 0.57 eV per atom

abc: 9.5832 3.0882 4.8041
angles: 90.00 102.87 90.00
Space group Cm (No. 8)
Symmetry-distinct sites (fractional):
Tc  0.0000  0.0000  0.0000
Tc  0.2382  0.5000  0.2199
Pb  0.4995  0.0000  0.4987
W  0.2642  0.0000  0.8060